Entry 1:
The following is a GGA-PBE calculation of crystalline NaTlAg2F4 at its relaxed geometry, from the Alexandria database.

Summary:
total DFT energy (no corrections) = -3.691 eV/atom

Cell: 6.052 5.201 6.197 Å, 63.44 50.23 66.32°
Fractional coordinates of all 8 atoms:
1 Na 0.000 0.000 0.000
2 Tl 0.517 0.517 0.483
3 Ag 0.209 0.209 0.291
4 Ag 0.709 0.709 0.791
5 F 0.030 0.449 0.970
6 F 0.173 0.724 0.276
7 F 0.449 0.030 0.551
8 F 0.724 0.173 0.827

=====

Entry 2:
The following is a GGA-PBE calculation of crystalline SbS2ClF at its relaxed geometry, from the Alexandria database.

Summary:
total DFT energy (no corrections) = -2.909 eV/atom
energy above the lowest structure with this stoichiometry = 0 meV/atom

Cell: 5.078 5.078 5.152 Å, 90.00 90.00 90.00°
Fractional coordinates of all 5 atoms:
1 Sb 0.000 0.000 0.000
2 S 0.000 0.500 0.000
3 S 0.500 0.000 0.000
4 Cl 0.000 0.000 0.500
5 F 0.500 0.500 0.500

=====

Entry 3:
The following is a GGA-PBE calculation of crystalline LiB2C2 at its relaxed geometry, from the Alexandria database.

Summary:
total DFT energy (no corrections) = -6.777 eV/atom
energy above the lowest structure with this stoichiometry = 36 meV/atom
energy relative to the elements = -3 kJ/mol of atoms

Cell: 4.591 5.463 7.404 Å, 90.00 92.10 90.00°
Fractional coordinates of all 20 atoms:
1 Li 0.000 0.000 0.000
2 Li 0.000 0.028 0.500
3 Li 0.000 0.501 0.000
4 Li 0.500 0.725 0.500
5 B 0.158 0.750 0.262
6 B 0.161 0.254 0.261
7 B 0.344 0.500 0.767
8 B 0.347 0.002 0.767
9 B 0.653 0.002 0.233
10 B 0.656 0.500 0.233
11 B 0.839 0.254 0.739
12 B 0.842 0.750 0.738
13 C 0.184 0.250 0.769
14 C 0.187 0.752 0.766
15 C 0.315 0.001 0.267
16 C 0.318 0.502 0.260
17 C 0.682 0.502 0.740
18 C 0.685 0.001 0.733
19 C 0.813 0.752 0.234
20 C 0.816 0.250 0.231

=====

Entry 4:
The following is a GGA-PBE calculation of crystalline MgZnN3 at its relaxed geometry, from the Alexandria database.

Summary:
total DFT energy (no corrections) = -3.728 eV/atom

Cell: 3.965 3.965 3.965 Å, 90.00 90.00 90.00°
Fractional coordinates of all 5 atoms:
1 Mg 0.000 0.000 0.000
2 Zn 0.500 0.500 0.500
3 N 0.000 0.000 0.500
4 N 0.000 0.500 0.000
5 N 0.500 0.000 0.000

=====

> The lowest total DFT energy (no corrections) belongs to which entry?

LiB2C2

=====

> total DFT energy (no corrections) of number 4 (MgZnN3)?

-3.728 eV/atom

=====

> Which of these has the highest total DFT energy (no corrections)?

SbS2ClF

=====

> Among the records above, which one has the highest total DFT energy (no corrections)?

SbS2ClF